No. 1
The following is a PBE calculation of crystalline ScNb2N3 at its relaxed geometry, from the Alexandria database.

The structure in POSCAR format:
```
ScNb2N3
1.0
-1.568 2.209 4.787
1.568 -2.209 4.787
1.568 2.209 -4.787
Sc Nb N
1 2 3
Direct
0.000 0.000 0.000
0.327 0.327 0.000
0.673 0.673 0.000
0.161 0.661 0.500
0.500 0.000 0.500
0.839 0.339 0.500
```

Calculated values
* total energy: -59.30 eV per formula unit
* mass density: 6.829 Mg/m³
* ΔE_f (raw): -1.309 eV per atom
* space group: No. 71

=====

No. 2
The following is a PBE calculation of crystalline Sc2NbN2 at its relaxed geometry, from the Alexandria database.

The structure in POSCAR format:
```
Sc2NbN2
1.0
-2.042 2.042 4.267
2.042 -2.042 4.267
2.042 2.042 -4.267
Sc Nb N
2 1 2
Direct
0.174 0.174 0.000
0.826 0.826 0.000
0.500 0.500 0.000
0.250 0.750 0.500
0.750 0.250 0.500
```

Calculated values
* energy relative to the lowest polymorph listed for this composition: 4.92 eV/f.u.
* total energy: -41.36 eV per formula unit
* mass density: 4.920 Mg/m³
* ΔE_f (raw): -0.395 eV per atom
* space group: No. 139

=====

No. 3
The following is a PBE calculation of crystalline Sc2NbN2 at its relaxed geometry, from the Alexandria database.

The structure in POSCAR format:
```
Sc2NbN2
1.0
-1.588 1.588 6.591
1.588 -1.588 6.591
1.588 1.588 -6.591
Sc Nb N
2 1 2
Direct
0.168 0.168 0.000
0.832 0.832 0.000
0.500 0.500 0.000
0.336 0.336 0.000
0.664 0.664 0.000
```

Calculated values
* energy relative to the lowest polymorph listed for this composition: 0.00 eV/f.u.
* total energy: -46.28 eV per formula unit
* mass density: 5.265 Mg/m³
* ΔE_f (raw): -1.379 eV per atom
* space group: No. 139

=====

Q: Look up the mass density of the third one.
A: 5.265 Mg/m³

=====

Q: The lowest total energy belongs to which entry?
A: ScNb2N3